Entry 1:
This record from Alexandria describes a relaxed structure of Mg4Pb. The functional is PBE.

**Energy above the lowest structure with this stoichiometry**: 449.5 meV/atom

```
5
Lattice="5.5019 0.0000 0.0000 0.0000 5.5019 0.0000 0.0000 0.0000 5.5019" Properties=species:S:1:pos:R:3 pbc="T T T"
Mg 0.0000 0.0000 0.0000
Mg 0.0000 2.7510 2.7510
Mg 2.7510 0.0000 2.7510
Mg 2.7510 2.7510 0.0000
Pb 2.7510 2.7510 2.7510
```

=====

Entry 2:
This record from Alexandria describes a relaxed structure of MgPb. The functional is PBE.

```
4
Lattice="0.0000 3.8204 3.8204 3.8204 0.0000 3.8204 3.8204 3.8204 0.0000" Properties=species:S:1:pos:R:3 pbc="T T T"
Mg 0.9551 0.9551 0.9551
Mg 6.6856 6.6856 6.6856
Pb 2.8653 2.8653 2.8653
Pb 4.7754 4.7754 4.7754
```

=====

Number 1: formation enthalpy at 0 K 0.4206 eV per atom. Number 2: formation enthalpy at 0 K 0.0264 eV per atom.